*i*
CaLa2CoAg | Alexandria | GGA-PBE | relaxed; calculated volume = 29.017 Å³ per atom; total magnetic moment = 0.00 Bohr magnetons per cell; DOS(E_F) = 0.852 states/eV/atom; SG = P4/mmm
1.0
5.170 0.000 0.000
0.000 5.170 0.000
0.000 0.000 5.428
Ca La Co Ag
1 2 1 1
Direct
0.000 0.000 0.000
0.000 0.500 0.500
0.500 0.000 0.500
0.500 0.500 0.500
0.500 0.500 0.000

*ii*
CaLa2CoAg | Alexandria | GGA-PBE | relaxed; calculated volume = 30.121 Å³ per atom; total magnetic moment = 0.00 Bohr magnetons per cell; DOS(E_F) = 0.683 states/eV/atom; SG = P4/mmm
1.0
5.174 0.000 0.000
0.000 5.174 0.000
0.000 0.000 5.625
Ca La Co Ag
1 2 1 1
Direct
0.000 0.000 0.000
0.000 0.500 0.500
0.500 0.000 0.500
0.000 0.000 0.500
0.500 0.500 0.000

Quick look at relative energies in kJ/mol of atoms: *i* 5.7; *ii* 0.0.

*i*
Ca2CrAg | Alexandria | GGA-PBE | relaxed; calculated volume = 28.049 Å³ per atom; total magnetic moment = 4.57 Bohr magnetons per cell; DOS(E_F) = 0.710 states/eV/atom; SG = C2/m
1.0
4.740 -1.761 0.000
4.740 1.761 0.000
-1.131 0.000 6.719
Ca Cr Ag
2 1 1
Direct
0.243 0.243 0.245
0.757 0.757 0.755
0.000 0.000 0.500
0.500 0.500 0.000

*ii*
Ca2CrAg | Alexandria | GGA-PBE | relaxed; calculated volume = 27.526 Å³ per atom; total magnetic moment = 8.58 Bohr magnetons per cell; DOS(E_F) = 0.764 states/eV/atom; SG = I-42d
1.0
-4.139 4.139 3.213
4.139 -4.139 3.213
4.139 4.139 -3.213
Ca Cr Ag
4 2 2
Direct
0.108 0.625 0.983
0.375 0.358 0.483
0.642 0.125 0.017
0.875 0.892 0.517
0.250 0.750 0.500
0.500 0.500 0.000
0.000 0.000 0.000
0.750 0.250 0.500

Quick look at relative energies in kJ/mol of atoms: *i* 0.0; *ii* 3.3.

*i*
Ca2CrAg | Alexandria | GGA-PBE | relaxed; calculated volume = 27.793 Å³ per atom; total magnetic moment = 4.49 Bohr magnetons per cell; DOS(E_F) = 0.781 states/eV/atom; SG = P2/m
1.0
5.455 0.000 0.000
0.000 3.456 0.000
-2.128 0.000 5.897
Ca Cr Ag
2 1 1
Direct
0.000 0.000 0.000
0.500 0.500 0.500
0.000 0.000 0.500
0.500 0.500 0.000

*ii*
Ca2CrAg | Alexandria | GGA-PBE | relaxed; calculated volume = 25.899 Å³ per atom; total magnetic moment = 4.87 Bohr magnetons per cell; DOS(E_F) = 0.638 states/eV/atom; SG = I-4m2
1.0
-2.275 2.275 5.003
2.275 -2.275 5.003
2.275 2.275 -5.003
Ca Cr Ag
2 1 1
Direct
0.000 0.000 0.000
0.750 0.250 0.500
0.250 0.750 0.500
0.500 0.500 0.000

Quick look at relative energies in kJ/mol of atoms: *i* 15.1; *ii* 0.0.